P) Below is crystalline ScNbZn at its relaxed geometry, with properties calculated at the PBE level.

a = 7.6091 Å, b = 7.6091 Å, c = 4.5295 Å
α = 90.00°, β = 90.00°, γ = 154.78°
Positions (direct):
Sc (0.0768, 0.9232, 0.7500)
Sc (0.9232, 0.0768, 0.2500)
Nb (0.2508, 0.7492, 0.2500)
Nb (0.7492, 0.2508, 0.7500)
Zn (0.4002, 0.5998, 0.7500)
Zn (0.5998, 0.4002, 0.2500)

Computed properties:
Space group: Cmcm, No. 63
Fermi-level density of states: 0.935 states/eV/atom


Q) Below is crystalline ScNbZn at its relaxed geometry, with properties calculated at the PBE level.

a = 6.7138 Å, b = 6.7138 Å, c = 6.7138 Å
α = 154.69°, β = 154.69°, γ = 36.09°
Positions (direct):
Sc (0.0000, 0.0000, 0.0000)
Nb (0.6805, 0.6805, 0.0000)
Zn (0.3341, 0.3341, 0.0000)

Computed properties:
Space group: I4mm, No. 107
Fermi-level density of states: 0.802 states/eV/atom


R) Below is crystalline ScNbZn at its relaxed geometry, with properties calculated at the PBE level.

a = 3.4778 Å, b = 3.6938 Å, c = 9.0559 Å
α = 90.00°, β = 100.63°, γ = 90.00°
Positions (direct):
Sc (0.1159, 0.2500, 0.2282)
Sc (0.8841, 0.7500, 0.7718)
Nb (0.2849, 0.2500, 0.5715)
Nb (0.7151, 0.7500, 0.4285)
Zn (0.4492, 0.2500, 0.9094)
Zn (0.5508, 0.7500, 0.0906)

Computed properties:
Space group: P2_1/m, No. 11
Fermi-level density of states: 0.885 states/eV/atom


Sorted by energy, starting with the most stable: P), R), Q).


P) Below is crystalline ZrScNb3 at its relaxed geometry, with properties calculated at the PBE level.

a = 4.7844 Å, b = 4.7844 Å, c = 4.7844 Å
α = 90.00°, β = 90.00°, γ = 90.00°
Positions (direct):
Zr (0.0000, 0.0000, 0.0000)
Sc (0.5000, 0.5000, 0.5000)
Nb (0.0000, 0.5000, 0.5000)
Nb (0.5000, 0.0000, 0.5000)
Nb (0.5000, 0.5000, 0.0000)

Computed properties:
Space group: Pm-3m, No. 221
Fermi-level density of states: 2.309 states/eV/atom


Q) Below is crystalline ZrScNb3 at its relaxed geometry, with properties calculated at the PBE level.

a = 4.9337 Å, b = 4.9337 Å, c = 4.9337 Å
α = 90.00°, β = 90.00°, γ = 90.00°
Positions (direct):
Zr (0.0000, 0.0000, 0.0000)
Sc (0.5000, 0.5000, 0.5000)
Nb (0.0000, 0.0000, 0.5000)
Nb (0.0000, 0.5000, 0.0000)
Nb (0.5000, 0.0000, 0.0000)

Computed properties:
Space group: Pm-3m, No. 221
Fermi-level density of states: 1.444 states/eV/atom


Sorted by energy, starting with the most stable: Q), P).


P) Below is crystalline Zr2ScNb at its relaxed geometry, with properties calculated at the PBE level.

a = 4.5504 Å, b = 4.5504 Å, c = 4.2142 Å
α = 90.00°, β = 90.00°, γ = 90.00°
Positions (direct):
Zr (0.0000, 0.5000, 0.0000)
Zr (0.5000, 0.0000, 0.0000)
Sc (0.0000, 0.0000, 0.5000)
Nb (0.5000, 0.5000, 0.5000)

Computed properties:
Space group: P4/mmm, No. 123
Fermi-level density of states: 1.638 states/eV/atom


Q) Below is crystalline Zr2ScNb at its relaxed geometry, with properties calculated at the PBE level.

a = 6.2265 Å, b = 6.2265 Å, c = 6.2265 Å
α = 103.54°, β = 103.54°, γ = 122.13°
Positions (direct):
Zr (0.1127, 0.6250, 0.9877)
Zr (0.3750, 0.3627, 0.4877)
Zr (0.6373, 0.1250, 0.0123)
Zr (0.8750, 0.8873, 0.5123)
Sc (0.2500, 0.7500, 0.5000)
Sc (0.5000, 0.5000, 0.0000)
Nb (0.0000, 0.0000, 0.0000)
Nb (0.7500, 0.2500, 0.5000)

Computed properties:
Space group: I-42d, No. 122
Fermi-level density of states: 1.219 states/eV/atom


Sorted by energy, starting with the most stable: P), Q).


P) Below is crystalline Zr2ScNb at its relaxed geometry, with properties calculated at the PBE level.

a = 3.5586 Å, b = 3.5586 Å, c = 6.9604 Å
α = 90.00°, β = 90.00°, γ = 90.00°
Positions (direct):
Zr (0.0000, 0.0000, 0.2214)
Zr (0.0000, 0.0000, 0.7786)
Sc (0.5000, 0.5000, 0.5000)
Nb (0.5000, 0.5000, 0.0000)

Computed properties:
Space group: P4/mmm, No. 123
Fermi-level density of states: 1.913 states/eV/atom


Q) Below is crystalline Zr2ScNb at its relaxed geometry, with properties calculated at the PBE level.

a = 4.9602 Å, b = 4.9602 Å, c = 4.9602 Å
α = 60.00°, β = 60.00°, γ = 60.00°
Positions (direct):
Zr (0.2500, 0.2500, 0.2500)
Zr (0.7500, 0.7500, 0.7500)
Sc (0.0000, 0.0000, 0.0000)
Nb (0.5000, 0.5000, 0.5000)

Computed properties:
Space group: Fm-3m, No. 225
Fermi-level density of states: 1.576 states/eV/atom


Sorted by energy, starting with the most stable: P), Q).


P) Below is crystalline ZrSc2Nb at its relaxed geometry, with properties calculated at the PBE level.

a = 6.2485 Å, b = 6.2485 Å, c = 6.2485 Å
α = 102.94°, β = 102.94°, γ = 123.52°
Positions (direct):
Zr (0.0000, 0.0000, 0.0000)
Zr (0.7500, 0.2500, 0.5000)
Sc (0.1400, 0.6250, 0.0150)
Sc (0.3750, 0.3900, 0.5150)
Sc (0.6100, 0.1250, 0.9850)
Sc (0.8750, 0.8600, 0.4850)
Nb (0.2500, 0.7500, 0.5000)
Nb (0.5000, 0.5000, 0.0000)

Computed properties:
Space group: I-42d, No. 122
Fermi-level density of states: 1.758 states/eV/atom


Q) Below is crystalline ZrSc2Nb at its relaxed geometry, with properties calculated at the PBE level.

a = 10.4445 Å, b = 10.4445 Å, c = 10.4445 Å
α = 17.30°, β = 17.30°, γ = 17.30°
Positions (direct):
Zr (0.0000, 0.0000, 0.0000)
Sc (0.5784, 0.5784, 0.5784)
Sc (0.7538, 0.7538, 0.7538)
Nb (0.1659, 0.1659, 0.1659)

Computed properties:
Space group: R3m, No. 160
Fermi-level density of states: 1.358 states/eV/atom


R) Below is crystalline ZrSc2Nb at its relaxed geometry, with properties calculated at the PBE level.

a = 3.6723 Å, b = 3.6723 Å, c = 6.4391 Å
α = 90.00°, β = 90.00°, γ = 90.00°
Positions (direct):
Zr (0.0000, 0.0000, 0.0000)
Sc (0.5000, 0.5000, 0.2730)
Sc (0.5000, 0.5000, 0.7270)
Nb (0.0000, 0.0000, 0.5000)

Computed properties:
Space group: P4/mmm, No. 123
Fermi-level density of states: 1.331 states/eV/atom


S) Below is crystalline ZrSc2Nb at its relaxed geometry, with properties calculated at the PBE level.

a = 11.0407 Å, b = 11.0407 Å, c = 11.0407 Å
α = 16.08°, β = 16.08°, γ = 16.08°
Positions (direct):
Zr (0.0000, 0.0000, 0.0000)
Sc (0.0929, 0.0929, 0.0929)
Sc (0.9071, 0.9071, 0.9071)
Nb (0.5000, 0.5000, 0.5000)

Computed properties:
Space group: R-3m, No. 166
Fermi-level density of states: 1.909 states/eV/atom


Sorted by energy, starting with the most stable: Q), R), S), P).


P) Below is crystalline Nb3Se4 at its relaxed geometry, with properties calculated at the PBE level.

a = 10.1492 Å, b = 10.1492 Å, c = 3.4773 Å
α = 90.00°, β = 90.00°, γ = 120.00°
Positions (direct):
Nb (0.1076, 0.6202, 0.2500)
Nb (0.3798, 0.4874, 0.2500)
Nb (0.4874, 0.1076, 0.7500)
Nb (0.5126, 0.8924, 0.2500)
Nb (0.6202, 0.5126, 0.7500)
Nb (0.8924, 0.3798, 0.7500)
Se (0.0613, 0.3412, 0.2500)
Se (0.2799, 0.9387, 0.2500)
Se (0.3333, 0.6667, 0.7500)
Se (0.3412, 0.2799, 0.7500)
Se (0.6588, 0.7201, 0.2500)
Se (0.6667, 0.3333, 0.2500)
Se (0.7201, 0.0613, 0.7500)
Se (0.9387, 0.6588, 0.7500)

Computed properties:
Space group: P6_3/m, No. 176
Fermi-level density of states: 0.556 states/eV/atom


Q) Below is crystalline Nb3Se4 at its relaxed geometry, with properties calculated at the PBE level.

a = 6.7705 Å, b = 6.7705 Å, c = 5.3012 Å
α = 105.75°, β = 105.75°, γ = 37.37°
Positions (direct):
Nb (0.0000, 0.0000, 0.0000)
Nb (0.2266, 0.2266, 0.3081)
Nb (0.7734, 0.7734, 0.6919)
Se (0.1591, 0.1591, 0.7723)
Se (0.4129, 0.4129, 0.7095)
Se (0.5871, 0.5871, 0.2905)
Se (0.8409, 0.8409, 0.2277)

Computed properties:
Space group: C2/m, No. 12
Fermi-level density of states: 0.600 states/eV/atom


Sorted by energy, starting with the most stable: P), Q).